NaUAg2Cl8: relaxed, PBE.

Calculated values
Final energy (eV per atom): -4.0045
Raw formation energy (eV/f.u.): -14.97
Magnetization (Bohr magnetons per cell): 0.9

Cell lengths 6.6365, 6.9890, 8.5901 Å; angles 104.90, 90.22, 101.59 degrees
With the nearest neighbours (Å) after each atom.
Space group P-1 (No. 2)
Asymmetric unit:
1 Na 0.0000 0.0000 0.0000 (multiplicity 1)  2 Cl 2.68
2 U 0.0000 0.0000 0.5000 (multiplicity 1)  6 Cl 2.52-2.57
3 Ag 0.4688 0.6352 0.1725 (multiplicity 2)  4 Cl 2.56-2.73
4 Cl 0.1155 0.7768 0.2433 (multiplicity 2)  1 U 2.57, 1 Ag 2.73
5 Cl 0.1275 0.8004 0.6707 (multiplicity 2)  1 U 2.52
6 Cl 0.3500 0.2410 0.5388 (multiplicity 2)  1 U 2.54, 1 Ag 2.61
7 Cl 0.3730 0.2459 0.0666 (multiplicity 2)  2 Ag 2.56-2.58, 1 Na 2.68